Below is crystalline Pt2WSe at its relaxed geometry, with properties calculated at the PBE level.

Calculated values
Calculated volume   16.7 A^3/atom
Electronic total energy   -7.07 eV/atom

Lattice parameters (Å, degrees): 2.9311 2.9311 26.8879 90.00 90.00 120.00
Space group R3m (No. 160, hexagonal axes)
One atom of each set of equivalent atoms:
Pt (0.0000, 0.0000, 0.0000)
Pt (0.0000, 0.0000, 0.2469)
W (0.0000, 0.0000, 0.7474)
Se (0.0000, 0.0000, 0.4843)

Below is crystalline LiAcCu2H6 at its relaxed geometry, with properties calculated at the PBE level.

Calculated values
Calculated volume   11.1 A^3/atom
Electronic total energy   -3.61 eV/atom

Lattice parameters (Å, degrees): 4.9365 4.9365 15.7949 90.00 90.00 120.00
Space group R-3m (No. 166, hexagonal axes)
One atom of each set of equivalent atoms:
Li (0.0000, 0.0000, 0.0000)
Ac (0.0000, 0.0000, 0.5000)
Cu (0.0000, 0.0000, 0.2632)
H (0.0290, 0.5145, 0.5797)

Below is crystalline Mg2AlRu at its relaxed geometry, with properties calculated at the PBE level.

Calculated values
Calculated volume   16.3 A^3/atom
Electronic total energy   -4.24 eV/atom
Formation energy from the elements   -0.189 eV/atom

Lattice parameters (Å, degrees): 3.282 4.298 9.223 90.00 90.00 90.00
Space group Immm (No. 71)
One atom of each set of equivalent atoms:
Mg (0.000, 0.000, 0.234)
Al (0.000, 0.500, 0.000)
Ru (0.000, 0.500, 0.500)

Below is crystalline Cr2CuRu at its relaxed geometry, with properties calculated at the PBE level.

Calculated values
Calculated volume   12.6 A^3/atom
Electronic total energy   -7.92 eV/atom
Formation energy from the elements   0.237 eV/atom

Lattice parameters (Å, degrees): 8.990 2.843 4.277 90.00 112.27 90.00
Space group Cm (No. 8)
One atom of each set of equivalent atoms:
Cr (0.000, 0.000, 0.000)
Cr (0.213, 0.500, 0.259)
Cu (0.238, 0.000, 0.782)
Ru (0.463, 0.000, 0.473)